Material: Pr6In2Sn
Method: DFT, PBE-GGA
State: relaxed

extended XYZ file:
```
9
Lattice="8.8278 0.0000 0.0000 -4.4139 7.6451 0.0000 0.0000 0.0000 4.3514" Properties=species:S:1:pos:R:3 pbc="T T T"
Pr -1.2151 2.1047 0.0000
Pr -2.6767 4.6362 2.1757
Pr 2.4303 0.0000 0.0000
Pr 1.7372 3.0090 2.1757
Pr 5.3534 0.0000 2.1757
Pr 3.1988 5.5405 0.0000
In 0.0000 5.0968 0.0000
In 4.4139 2.5484 0.0000
Sn 0.0000 0.0000 2.1757
```

Values from the calculation:
The energy above the most stable polymorph in this dataset is 0 meV per atom. The formation energy comes out at -400 meV/atom.



Material: PrIn3Sn
Method: DFT, PBE-GGA
State: relaxed

extended XYZ file:
```
10
Lattice="5.2319 0.0000 0.0000 0.0000 7.3838 0.0000 0.0000 0.0000 7.3295" Properties=species:S:1:pos:R:3 pbc="T T T"
Pr 1.3080 1.8459 1.5716
Pr 3.9240 5.5378 5.7579
In 1.3080 0.3956 5.4277
In 1.3080 3.2962 5.4277
In 1.3080 5.5378 3.4360
In 3.9240 1.8459 3.8935
In 3.9240 4.0875 1.9018
In 3.9240 6.9881 1.9018
Sn 1.3080 5.5378 0.5253
Sn 3.9240 1.8459 6.8042
```

Values from the calculation:
The energy above the most stable polymorph in this dataset is 0 meV per atom. The formation energy comes out at -197 meV/atom.



Material: Pr4In5Sn
Method: DFT, PBE-GGA
State: relaxed

extended XYZ file:
```
20
Lattice="7.3460 0.0000 0.0000 0.0000 10.4082 0.0000 0.0000 0.0000 8.1020" Properties=species:S:1:pos:R:3 pbc="T T T"
Pr 0.0676 2.6020 1.5794
Pr 1.8365 5.8811 3.9479
Pr 1.8365 9.7311 3.9479
Pr 3.6054 2.6020 1.5794
Pr 3.7406 7.8061 6.5225
Pr 5.5095 0.6770 4.1540
Pr 5.5095 4.5270 4.1540
Pr 7.2784 7.8061 6.5225
In 0.3739 0.6756 6.7247
In 0.3739 4.5284 6.7247
In 1.8365 7.8061 1.0735
In 3.2991 0.6756 6.7247
In 3.2991 4.5284 6.7247
In 4.0469 5.8797 1.3773
In 4.0469 9.7325 1.3773
In 5.5095 2.6020 7.0285
In 6.9721 5.8797 1.3773
In 6.9721 9.7325 1.3773
Sn 1.8365 2.6020 4.3847
Sn 5.5095 7.8061 3.7173
```

Values from the calculation:
The formation energy comes out at -240 meV/atom.



- Number 1 is which compound?
  Pr6In2Sn